# 1
A relaxed structure of K2NaHgS. Source: Alexandria, functional PBE-GGA.

Structure (CIF):
```
data_K2NaHgS
_cell_length_a 6.438
_cell_length_b 6.438
_cell_length_c 4.850
_cell_angle_alpha 90.00
_cell_angle_beta 90.00
_cell_angle_gamma 90.00
_space_group_name_H-M_alt 'P 4/m m m'
_space_group_IT_number 123
_space_group_name_Hall '-P 4 2'
loop_
_atom_site_label
_atom_site_type_symbol
_atom_site_fract_x
_atom_site_fract_y
_atom_site_fract_z
K1 K 0.000 0.500 0.000
Na1 Na 0.000 0.000 0.000
Hg1 Hg 0.500 0.500 0.500
S1 S 0.000 0.000 0.500
```

Properties
E_form (uncorrected) = -323 meV per atom
Offset from the most stable computed form = 274 meV/atom


# 2
A relaxed structure of K2NaHgS. Source: Alexandria, functional PBE-GGA.

Structure (CIF):
```
data_K2NaHgS
_cell_length_a 6.170
_cell_length_b 6.170
_cell_length_c 5.289
_cell_angle_alpha 90.00
_cell_angle_beta 90.00
_cell_angle_gamma 90.00
_space_group_name_H-M_alt 'P 4/m m m'
_space_group_IT_number 123
_space_group_name_Hall '-P 4 2'
loop_
_atom_site_label
_atom_site_type_symbol
_atom_site_fract_x
_atom_site_fract_y
_atom_site_fract_z
K1 K 0.000 0.500 0.000
Na1 Na 0.000 0.000 0.500
Hg1 Hg 0.500 0.500 0.500
S1 S 0.000 0.000 0.000
```

Properties
E_form (uncorrected) = -597 meV per atom
Offset from the most stable computed form = 0 meV/atom


# 3
A relaxed structure of KNa2HgS2. Source: Alexandria, functional PBE-GGA.

Structure (CIF):
```
data_KNa2HgS2
_cell_length_a 6.911
_cell_length_b 12.079
_cell_length_c 4.539
_cell_angle_alpha 90.00
_cell_angle_beta 90.00
_cell_angle_gamma 90.00
_space_group_name_H-M_alt 'P n n m'
_space_group_IT_number 58
_space_group_name_Hall '-P 2 2n'
loop_
_atom_site_label
_atom_site_type_symbol
_atom_site_fract_x
_atom_site_fract_y
_atom_site_fract_z
K1 K 0.000 0.000 0.000
Na1 Na 0.118 0.271 0.500
Hg1 Hg 0.000 0.500 0.000
S1 S 0.218 0.853 0.500
```

Properties
E_form (uncorrected) = -694 meV per atom


# 4
A relaxed structure of KNa2Hg2Sb2. Source: Alexandria, functional PBE-GGA.

Structure (CIF):
```
data_KNa2Hg2Sb2
_cell_length_a 5.1541
_cell_length_b 5.1541
_cell_length_c 29.1367
_cell_angle_alpha 90.00
_cell_angle_beta 90.00
_cell_angle_gamma 120.00
_space_group_name_H-M_alt 'R -3 m'
_space_group_IT_number 166
_space_group_name_Hall '-R 3 2"'
loop_
_atom_site_label
_atom_site_type_symbol
_atom_site_fract_x
_atom_site_fract_y
_atom_site_fract_z
K1 K 0.0000 0.0000 0.0000
Na1 Na 0.0000 0.0000 0.1360
Hg1 Hg 0.0000 0.0000 0.4177
Sb1 Sb 0.0000 0.0000 0.2484
```

Properties
E_form (uncorrected) = -308 meV per atom


Results for energy: -1.9113, -2.1857, -2.7424, -2.1060 (in eV/atom, following the order of the records).